[1]
Entry from Alexandria via LeMat-Bulk: crystalline Tm3Np2Fe4 at its relaxed geometry (PBE).

## Properties
N(E_F) = 13.57 states/eV/f.u.
ΔH_f (0 K) = -0.0996 eV/atom
Crystal system = monoclinic

```
Tm3Np2Fe4
1.0
5.300 -1.991 0.000
5.300 1.991 0.000
-1.778 0.000 8.113
Tm Np Fe
3 2 4
Direct
0.000 0.000 0.000 Tm
0.375 0.375 0.619 Tm
0.625 0.625 0.381 Tm
0.327 0.327 0.221 Np
0.673 0.673 0.779 Np
0.090 0.090 0.640 Fe
0.268 0.268 0.910 Fe
0.732 0.732 0.090 Fe
0.910 0.910 0.360 Fe
```


[2]
Entry from Alexandria via LeMat-Bulk: crystalline Pm5Sm2Ge4 at its relaxed geometry (PBE).

## Properties
N(E_F) = 11.19 states/eV/f.u.
ΔH_f (0 K) = -0.4004 eV/atom
Crystal system = monoclinic

```
Pm5Sm2Ge4
1.0
12.112 -2.113 0.000
12.112 2.113 0.000
-0.909 0.000 6.451
Pm Sm Ge
5 2 4
Direct
0.000 0.000 0.000 Pm
0.375 0.375 0.066 Pm
0.387 0.387 0.547 Pm
0.613 0.613 0.453 Pm
0.625 0.625 0.934 Pm
0.225 0.225 0.250 Sm
0.775 0.775 0.750 Sm
0.189 0.189 0.718 Ge
0.488 0.488 0.310 Ge
0.512 0.512 0.690 Ge
0.811 0.811 0.282 Ge
```